Here is a relaxed Pr2Y8Mg crystal from Alexandria. Energies are from GGA-PBE.

a b c (Å): 10.169 10.169 6.549
angles (deg): 94.11 94.11 32.08
Positions (direct):
Pr1 0.243 0.243 0.334
Pr2 0.757 0.757 0.666
Y1 0.044 0.044 0.260
Y2 0.151 0.151 0.814
Y3 0.340 0.340 0.875
Y4 0.422 0.422 0.402
Y5 0.578 0.578 0.598
Y6 0.660 0.660 0.125
Y7 0.849 0.849 0.186
Y8 0.956 0.956 0.740
Mg1 0.500 0.500 0.000

## Properties
DFT formation energy ... 31 meV per atom
Energy above the lowest structure with this stoichiometry ... 0 meV per atom
Space-group type ... C2/m (12)